DFT (PBE-GGA) results for crystalline Ba4Tl2Pb at its relaxed geometry.

Output
The total energy is -2.440 eV/atom.

Lattice parameters (Å, degrees): 9.795 9.795 9.795 139.56 139.56 58.53
Fractional coordinates of all 7 atoms:
Ba  0.000  0.500  0.500
Ba  0.199  0.199  0.000
Ba  0.500  0.000  0.500
Ba  0.801  0.801  0.000
Tl  0.404  0.404  0.000
Tl  0.596  0.596  0.000
Pb  0.000  0.000  0.000

DFT (PBE-GGA) results for crystalline BaTl2Pb at its relaxed geometry.

Output
The total energy is -2.754 eV/atom.

Lattice parameters (Å, degrees): 7.017 7.017 3.693 103.61 103.61 119.14
Fractional coordinates of all 4 atoms:
Ba  0.000  0.000  0.000
Tl  0.000  0.500  0.500
Tl  0.500  0.000  0.500
Pb  0.500  0.500  0.000

DFT (PBE-GGA) results for crystalline Ba7Tl2Pb2 at its relaxed geometry.

Output
The total energy is -2.577 eV/atom.

Lattice parameters (Å, degrees): 7.945 7.945 9.054 90.00 90.00 111.25
Fractional coordinates of all 11 atoms:
Ba  0.000  0.000  0.000
Ba  0.000  0.500  0.290
Ba  0.000  0.500  0.710
Ba  0.500  0.000  0.290
Ba  0.500  0.000  0.710
Ba  0.500  0.500  0.253
Ba  0.500  0.500  0.747
Tl  0.284  0.716  0.000
Tl  0.716  0.284  0.000
Pb  0.175  0.175  0.500
Pb  0.825  0.825  0.500

DFT (PBE-GGA) results for crystalline Ba2TlPbW at its relaxed geometry.

Output
The total energy is -3.974 eV/atom.

Lattice parameters (Å, degrees): 5.979 5.979 5.476 90.00 90.00 90.00
Fractional coordinates of all 5 atoms:
Ba  0.000  0.500  0.000
Ba  0.500  0.000  0.000
Tl  0.000  0.000  0.500
Pb  0.500  0.500  0.500
W  0.500  0.500  0.000

DFT (PBE-GGA) results for crystalline BaYTlPb at its relaxed geometry.

Output
The total energy is -3.950 eV/atom.

Lattice parameters (Å, degrees): 5.746 5.746 5.746 60.00 60.00 60.00
Fractional coordinates of all 4 atoms:
Ba  0.000  0.000  0.000
Y  0.500  0.500  0.500
Tl  0.750  0.750  0.750
Pb  0.250  0.250  0.250

DFT (PBE-GGA) results for crystalline Ba2TlZnPb6 at its relaxed geometry.

Output
The total energy is -3.111 eV/atom.

Lattice parameters (Å, degrees): 16.571 16.571 16.571 25.63 25.63 25.63
Fractional coordinates of all 20 atoms:
Ba  0.115  0.115  0.115
Ba  0.312  0.312  0.312
Ba  0.688  0.688  0.688
Ba  0.885  0.885  0.885
Tl  0.425  0.425  0.425
Tl  0.575  0.575  0.575
Zn  0.000  0.000  0.000
Zn  0.500  0.500  0.500
Pb  0.094  0.661  0.661
Pb  0.193  0.193  0.749
Pb  0.193  0.749  0.193
Pb  0.251  0.807  0.807
Pb  0.339  0.339  0.906
Pb  0.339  0.906  0.339
Pb  0.661  0.094  0.661
Pb  0.661  0.661  0.094
Pb  0.749  0.193  0.193
Pb  0.807  0.251  0.807
Pb  0.807  0.807  0.251
Pb  0.906  0.339  0.339

DFT (PBE-GGA) results for crystalline BaTlZnPb at its relaxed geometry.

Output
The total energy is -2.523 eV/atom.

Lattice parameters (Å, degrees): 5.606 5.606 5.606 60.00 60.00 60.00
Fractional coordinates of all 4 atoms:
Ba  0.000  0.000  0.000
Tl  0.750  0.750  0.750
Zn  0.250  0.250  0.250
Pb  0.500  0.500  0.500

DFT (PBE-GGA) results for crystalline BaTm3Pb2 at its relaxed geometry.

Output
The total energy is -4.092 eV/atom.

Lattice parameters (Å, degrees): 9.671 9.671 9.928 115.30 115.30 30.20
Fractional coordinates of all 12 atoms:
Ba  0.140  0.140  0.066
Ba  0.860  0.860  0.934
Tm  0.050  0.050  0.390
Tm  0.312  0.312  0.573
Tm  0.412  0.412  0.342
Tm  0.588  0.588  0.658
Tm  0.688  0.688  0.427
Tm  0.950  0.950  0.610
Pb  0.198  0.198  0.724
Pb  0.483  0.483  0.830
Pb  0.517  0.517  0.170
Pb  0.802  0.802  0.276

DFT (PBE-GGA) results for crystalline BaTm3Pb3 at its relaxed geometry.

Output
The total energy is -3.798 eV/atom.

Lattice parameters (Å, degrees): 8.374 8.374 8.374 90.00 90.00 90.00
Fractional coordinates of all 14 atoms:
Ba  0.000  0.000  0.000
Ba  0.500  0.500  0.500
Tm  0.000  0.250  0.500
Tm  0.000  0.750  0.500
Tm  0.250  0.500  0.000
Tm  0.500  0.000  0.250
Tm  0.500  0.000  0.750
Tm  0.750  0.500  0.000
Pb  0.000  0.500  0.250
Pb  0.000  0.500  0.750
Pb  0.250  0.000  0.500
Pb  0.500  0.250  0.000
Pb  0.500  0.750  0.000
Pb  0.750  0.000  0.500

DFT (PBE-GGA) results for crystalline BaTmPb6 at its relaxed geometry.

Output
The total energy is -3.881 eV/atom.

Lattice parameters (Å, degrees): 5.086 5.086 9.674 90.00 90.00 90.00
Fractional coordinates of all 8 atoms:
Ba  0.000  0.000  0.000
Tm  0.000  0.000  0.500
Pb  0.000  0.500  0.267
Pb  0.000  0.500  0.733
Pb  0.500  0.000  0.267
Pb  0.500  0.000  0.733
Pb  0.500  0.500  0.000
Pb  0.500  0.500  0.500

DFT (PBE-GGA) results for crystalline BaVPb3 at its relaxed geometry.

Output
The total energy is -2.987 eV/atom.

Lattice parameters (Å, degrees): 6.210 6.210 6.210 90.00 90.00 90.00
Fractional coordinates of all 5 atoms:
Ba  0.000  0.000  0.000
V  0.500  0.500  0.500
Pb  0.000  0.000  0.500
Pb  0.000  0.500  0.000
Pb  0.500  0.000  0.000

DFT (PBE-GGA) results for crystalline BaVPb3 at its relaxed geometry.

Output
The total energy is -4.486 eV/atom.

Lattice parameters (Å, degrees): 5.389 5.389 5.389 90.00 90.00 90.00
Fractional coordinates of all 5 atoms:
Ba  0.000  0.000  0.000
V  0.500  0.500  0.500
Pb  0.000  0.500  0.500
Pb  0.500  0.000  0.500
Pb  0.500  0.500  0.000

Number 1: E_form -0.14 eV per atom. Number 2: E_form -0.16 eV per atom. Number 3: E_form -0.25 eV per atom. Number 4: E_form 0.60 eV per atom. Number 5: E_form -0.33 eV per atom. Number 6: E_form -0.14 eV per atom. Number 7: E_form -0.20 eV per atom. Number 8: E_form -0.30 eV per atom. Number 9: E_form -0.02 eV per atom. Number 10: E_form -0.30 eV per atom. Number 11: E_form 1.45 eV per atom. Number 12: E_form -0.05 eV per atom.